Entry 1:
Crystalline AlTlSn at its relaxed geometry. Source: Alexandria via LeMat-Bulk, functional PBE.

Structure (extended XYZ):
```
3
Lattice="0.000 3.457 3.457 3.457 0.000 3.457 3.457 3.457 0.000" Properties=species:S:1:pos:R:3 pbc="T T T"
Al 0.000 0.000 0.000
Tl 1.729 1.729 1.729
Sn 5.186 5.186 5.186
```

Calculated values
Crystal system: cubic
Space group: F-43m, No. 216
Offset from the most stable computed form, meV/atom: 57


Entry 2:
Crystalline Al2Tl2Sn at its relaxed geometry. Source: Alexandria via LeMat-Bulk, functional PBE.

Structure (extended XYZ):
```
10
Lattice="8.896 0.000 0.000 0.000 8.896 0.000 0.000 0.000 3.227" Properties=species:S:1:pos:R:3 pbc="T T T"
Al 0.999 3.449 0.000
Al 3.449 7.897 0.000
Al 5.448 0.999 0.000
Al 7.897 5.448 0.000
Tl 1.629 6.077 1.613
Tl 2.819 1.629 1.613
Tl 6.077 7.268 1.613
Tl 7.268 2.819 1.613
Sn 0.000 0.000 1.613
Sn 4.448 4.448 1.613
```

Calculated values
Crystal system: tetragonal
Space group: P4/mbm, No. 127
Offset from the most stable computed form, meV/atom: 125


Entry 3:
Crystalline AlTl2Sn at its relaxed geometry. Source: Alexandria via LeMat-Bulk, functional PBE.

Structure (extended XYZ):
```
4
Lattice="1.659 0.958 11.665 -1.659 0.958 11.665 0.000 -1.915 11.665" Properties=species:S:1:pos:R:3 pbc="T T T"
Al 0.000 0.000 0.000
Tl 0.000 0.000 2.928
Tl 0.000 0.000 32.066
Sn 0.000 0.000 17.497
```

Calculated values
Crystal system: trigonal
Space group: R-3m, No. 166


Entry 4:
Crystalline Al2TlSn2 at its relaxed geometry. Source: Alexandria via LeMat-Bulk, functional PBE.

Structure (extended XYZ):
```
10
Lattice="8.606 0.000 0.000 0.000 8.606 0.000 0.000 0.000 3.336" Properties=species:S:1:pos:R:3 pbc="T T T"
Al 1.228 3.075 0.000
Al 3.075 7.378 0.000
Al 5.531 1.228 0.000
Al 7.378 5.531 0.000
Tl 0.000 0.000 1.668
Tl 4.303 4.303 1.668
Sn 1.293 5.596 1.668
Sn 3.010 1.293 1.668
Sn 5.596 7.313 1.668
Sn 7.313 3.010 1.668
```

Calculated values
Crystal system: tetragonal
Space group: P4/mbm, No. 127
Offset from the most stable computed form, meV/atom: 51


Number 1: V 27.55 Å³/atom, ΔE_f 132 meV/atom. Number 2: V 25.54 Å³/atom, ΔE_f 310 meV/atom. Number 3: V 27.79 Å³/atom, ΔE_f 225 meV/atom. Number 4: V 24.71 Å³/atom, ΔE_f 168 meV/atom.